No. 1
A relaxed CrP2W crystal. Source: Alexandria, functional GGA-PBEsol.

Its crystal system is orthorhombic. The formation energy is -0.5271 eV per atom.

POSCAR file:
```
CrP2W
1.0
3.122 0.000 0.000
0.000 6.090 0.000
0.000 0.000 5.469
Cr P W
2 4 2
Direct
0.000 0.065 0.000
0.000 0.935 0.500
0.000 0.294 0.666
0.000 0.706 0.166
0.500 0.167 0.305
0.500 0.833 0.805
0.500 0.443 0.982
0.500 0.557 0.482
```



No. 2
A relaxed SrCdCl2 crystal. Source: Alexandria, functional GGA-PBEsol.

The formation energy (no corrections) comes out at -1330 meV per atom. Its crystal system is tetragonal.

POSCAR file:
```
SrCdCl2
1.0
-2.203 2.203 5.192
2.203 -2.203 5.192
2.203 2.203 -5.192
Sr Cd Cl
1 1 2
Direct
0.000 0.000 0.000
0.750 0.250 0.500
0.250 0.750 0.500
0.500 0.500 0.000
```



Repeat the first record exactly.
A relaxed CrP2W crystal. Source: Alexandria, functional GGA-PBEsol.

Its crystal system is orthorhombic. The formation energy is -0.5271 eV per atom.

POSCAR file:
```
CrP2W
1.0
3.122 0.000 0.000
0.000 6.090 0.000
0.000 0.000 5.469
Cr P W
2 4 2
Direct
0.000 0.065 0.000
0.000 0.935 0.500
0.000 0.294 0.666
0.000 0.706 0.166
0.500 0.167 0.305
0.500 0.833 0.805
0.500 0.443 0.982
0.500 0.557 0.482
```